# 1
{"formula": "AcErMgRh", "functional": "PBE-GGA", "state": "optimized geometry", "lattice": [[5.268, 0.000, 0.000], [2.634, 4.562, 0.000], [2.634, 1.521, 4.301]], "species": ["Er", "Rh", "Ac", "Mg"], "frac_coords": [[0.500, 0.500, 0.500], [0.250, 0.250, 0.250], [0.000, 0.000, 0.000], [0.750, 0.750, 0.750]], "crystal_system": "cubic", "ef_ev_per_atom": -0.264}

---

# 2
{"formula": "Cs2GeTe2", "functional": "PBE-GGA", "state": "optimized geometry", "lattice": [[-1.960, 6.309, 3.821], [-6.875, 0.415, -4.212], [0.850, -7.737, 5.588]], "species": ["Te", "Te", "Te", "Te", "Cs", "Cs", "Cs", "Cs", "Ge", "Ge"], "frac_coords": [[0.395, 0.586, 0.790], [0.895, 0.204, 0.790], [0.605, 0.414, 0.210], [0.105, 0.796, 0.210], [0.143, 0.321, 0.287], [0.643, 0.966, 0.287], [0.857, 0.679, 0.713], [0.357, 0.034, 0.713], [0.250, 0.500, 0.000], [0.750, 0.500, 0.000]], "crystal_system": "orthorhombic", "polymorph_energy_mev_per_atom": 0, "raw_formation_energy_ev_per_atom": -0.699}

---

# 3
{"formula": "LaDy3Ho8", "functional": "PBE-GGA", "state": "optimized geometry", "lattice": [[-2.655, -1.622, -8.058], [7.411, 2.192, 3.857], [-0.577, -8.047, 3.086]], "species": ["Ho", "Ho", "Ho", "Ho", "Ho", "Ho", "Ho", "Ho", "Dy", "Dy", "Dy", "La"], "frac_coords": [[0.012, 0.754, 0.258], [0.171, 0.749, 0.920], [0.504, 0.246, 0.258], [0.988, 0.246, 0.742], [0.829, 0.749, 0.578], [0.829, 0.251, 0.080], [0.496, 0.754, 0.742], [0.171, 0.251, 0.422], [0.000, 0.500, 0.500], [0.500, 0.758, 0.258], [0.500, 0.242, 0.742], [0.000, 0.000, 0.000]], "crystal_system": "orthorhombic", "ef_ev_per_atom": 0.322}